Record 1
{
  "formula": "V3HOs",
  "functional": "PBE",
  "state": "optimized geometry",
  "de_polymorph_ev_per_atom": 0.000,
  "vol_a3_per_cell": 57.0,
  "dos_ef_per_ev_cell": 7.6,
  "lattice": [[-2.737, -1.073, 2.483], [2.501, -2.349, 1.742], [1.030, 2.853, 2.368]],
  "species": ["V", "V", "V", "Os", "H"],
  "frac_coords": [[0.500, 0.000, 0.000], [0.000, 0.500, 0.000], [0.000, 0.000, 0.500], [0.500, 0.500, 0.500], [0.000, 0.000, 0.000]]
}

Record 2
{
  "formula": "VHOsW2",
  "functional": "PBE",
  "state": "optimized geometry",
  "final_energy_ev_per_atom": -9.789,
  "vol_a3_per_cell": 62.5,
  "dos_ef_per_ev_cell": 4.4,
  "lattice": [[-2.769, 2.676, 1.141], [-2.380, -1.177, -3.013], [-1.613, -2.656, 2.312]],
  "species": ["W", "W", "Os", "H", "V"],
  "frac_coords": [[0.500, 0.000, 0.000], [0.000, 0.500, 0.000], [0.500, 0.500, 0.500], [0.000, 0.000, 0.000], [0.000, 0.000, 0.500]]
}

Record 3
{
  "formula": "HOsW2",
  "functional": "PBE",
  "state": "optimized geometry",
  "de_polymorph_ev_per_atom": 0.000,
  "vol_a3_per_cell": 48.6,
  "dos_ef_per_ev_cell": 2.5,
  "lattice": [[-2.532, 0.451, -1.212], [-1.171, -2.008, -1.637], [-4.381, -3.225, 4.620]],
  "species": ["W", "W", "H", "Os"],
  "frac_coords": [[0.272, 0.272, 0.184], [0.728, 0.728, 0.816], [0.000, 0.000, 0.000], [0.500, 0.500, 0.500]]
}

Record 4
{
  "formula": "H2Os2W",
  "functional": "PBE",
  "state": "optimized geometry",
  "final_energy_ev_per_atom": -8.154,
  "vol_a3_per_cell": 51.0,
  "dos_ef_per_ev_cell": 3.6,
  "lattice": [[2.867, 0.000, 0.000], [0.000, 2.867, 0.000], [1.434, 1.434, 6.203]],
  "species": ["W", "Os", "Os", "H", "H"],
  "frac_coords": [[0.000, 0.000, 0.000], [0.351, 0.351, 0.298], [0.649, 0.649, 0.702], [0.250, 0.750, 0.500], [0.750, 0.250, 0.500]]
}

Record 5
{
  "formula": "HOsW",
  "functional": "PBE",
  "state": "optimized geometry",
  "final_energy_ev_per_atom": -8.873,
  "vol_a3_per_cell": 134.8,
  "dos_ef_per_ev_cell": 2.7,
  "lattice": [[-0.991, 1.338, -4.133], [-5.870, -0.303, 1.309], [0.093, 4.784, 1.527]],
  "species": ["H", "H", "H", "H", "Os", "Os", "Os", "Os", "W", "W", "W", "W"],
  "frac_coords": [[0.750, 0.888, 0.450], [0.250, 0.112, 0.550], [0.250, 0.388, 0.050], [0.750, 0.612, 0.950], [0.250, 0.848, 0.407], [0.250, 0.652, 0.907], [0.750, 0.348, 0.093], [0.750, 0.152, 0.593], [0.250, 0.397, 0.415], [0.750, 0.897, 0.085], [0.750, 0.603, 0.585], [0.250, 0.103, 0.915]]
}

Record 6
{
  "formula": "HOsW3",
  "functional": "PBE",
  "state": "optimized geometry",
  "de_polymorph_ev_per_atom": 0.000,
  "vol_a3_per_cell": 65.0,
  "dos_ef_per_ev_cell": 3.7,
  "lattice": [[4.021, 0.000, 0.000], [0.000, 4.021, 0.000], [0.000, 0.000, 4.021]],
  "species": ["Os", "W", "W", "W", "H"],
  "frac_coords": [[0.500, 0.500, 0.500], [0.000, 0.500, 0.000], [0.500, 0.000, 0.000], [0.000, 0.000, 0.500], [0.000, 0.000, 0.000]]
}